Crystalline YZn2Hg at its relaxed geometry, computed with PBE.

abc: 4.8502 4.8502 4.8502
angles: 60.00 60.00 60.00
Element x y z (fractional)
Zn 0.2500 0.2500 0.2500
Zn 0.0000 0.0000 0.0000
Hg 0.7500 0.7500 0.7500
Y 0.5000 0.5000 0.5000

Properties
As for the space-group type: F-43m, No. 216. The formation energy comes out at -0.278 eV/atom.